No. 1
Below is an optimized crystal structure of KOsRu2, with properties calculated at the PBE-GGA level.

a = 10.295 Å, b = 10.295 Å, c = 10.295 Å
α = 15.52°, β = 15.52°, γ = 15.52°
Sites, in units of the cell vectors:
K 0.000 0.000 0.000
Os 0.500 0.500 0.500
Ru 0.236 0.236 0.236
Ru 0.764 0.764 0.764

Values from the calculation:
Energy relative to the elements ... 287.8 kJ/mol of formula units
Uncorrected energy ... -6.974 eV/atom
M_tot ... 0.00 μB/f.u.

***

No. 2
Below is an optimized crystal structure of KOsRu2, with properties calculated at the PBE-GGA level.

a = 6.063 Å, b = 6.063 Å, c = 6.063 Å
α = 104.69°, β = 104.69°, γ = 119.53°
Sites, in units of the cell vectors:
K 0.000 0.000 0.000
K 0.750 0.250 0.500
Os 0.250 0.750 0.500
Os 0.500 0.500 0.000
Ru 0.198 0.625 0.073
Ru 0.375 0.448 0.573
Ru 0.552 0.125 0.927
Ru 0.875 0.802 0.427

Values from the calculation:
Energy relative to the elements ... 518.6 kJ/mol of formula units
Uncorrected energy ... -6.376 eV/atom
M_tot ... 0.00 μB/f.u.

***

No. 3
Below is an optimized crystal structure of KOsRu, with properties calculated at the PBE-GGA level.

a = 4.551 Å, b = 4.551 Å, c = 4.551 Å
α = 60.00°, β = 60.00°, γ = 60.00°
Sites, in units of the cell vectors:
K 0.000 0.000 0.000
Os 0.250 0.250 0.250
Ru 0.750 0.750 0.750

Values from the calculation:
Energy relative to the elements ... 914.2 kJ/mol of formula units
Uncorrected energy ... -4.043 eV/atom
M_tot ... 3.72 μB/f.u.

***

No. 4
Below is an optimized crystal structure of KOsRu, with properties calculated at the PBE-GGA level.

a = 4.418 Å, b = 4.418 Å, c = 4.418 Å
α = 60.00°, β = 60.00°, γ = 60.00°
Sites, in units of the cell vectors:
K 0.000 0.000 0.000
Os 0.500 0.500 0.500
Ru 0.250 0.250 0.250

Values from the calculation:
Energy relative to the elements ... 515.8 kJ/mol of formula units
Uncorrected energy ... -5.419 eV/atom
M_tot ... 0.00 μB/f.u.

***

No. 5
Below is an optimized crystal structure of KOs2Ru, with properties calculated at the PBE-GGA level.

a = 5.002 Å, b = 5.002 Å, c = 2.689 Å
α = 90.00°, β = 90.00°, γ = 90.00°
Sites, in units of the cell vectors:
K 0.000 0.000 0.000
Os 0.000 0.500 0.500
Os 0.500 0.000 0.500
Ru 0.500 0.500 0.000

Values from the calculation:
Energy relative to the elements ... 667.0 kJ/mol of formula units
Uncorrected energy ... -6.480 eV/atom
M_tot ... 0.00 μB/f.u.

***

No. 6
Below is an optimized crystal structure of KOs2Ru, with properties calculated at the PBE-GGA level.

a = 2.732 Å, b = 2.732 Å, c = 9.496 Å
α = 90.00°, β = 90.00°, γ = 90.00°
Sites, in units of the cell vectors:
K 0.000 0.000 0.000
Os 0.500 0.500 0.305
Os 0.500 0.500 0.695
Ru 0.000 0.000 0.500

Values from the calculation:
Energy relative to the elements ... 339.5 kJ/mol of formula units
Uncorrected energy ... -7.329 eV/atom
M_tot ... 0.00 μB/f.u.

***

In eV/f.u., the E above lowest polymorph values for the records above are, in order, 0.00 2.39 7.18 3.05 3.89 0.50.